PBE-GGA K2AgCl4, optimized geometry; DOS at the Fermi energy = 3.2 states/eV/f.u.; theoretical density = 2.70 Mg/m³; energy relative to the lowest polymorph listed for this composition = 46 meV per atom; ΔE_f (raw) = -8.679 eV/f.u.; uncorrected energy = -21.11 eV/f.u.
1.0
6.969 -2.102 0.000
6.969 2.102 0.000
-3.811 0.000 6.874
K Ag Cl
2 1 4
Cartesian
1.472 0.000 1.347
8.657 0.000 5.527
5.064 0.000 3.437
-0.175 0.000 4.138
5.986 0.000 1.166
4.142 0.000 5.707
10.303 0.000 2.736